First-principles (PBE) data for a relaxed Y3Si6Ni20 crystal, as listed in Alexandria.

Raw total energy = -6.269 eV/atom
Density = 7.133 Mg/m³
Formation energy without anion corrections = -491 meV per atom
DOS(E_F) = 0.77 states/eV per atom

Unit cell a=8.0915 b=8.0915 c=8.0915 alpha=60.00 beta=60.00 gamma=60.00
Fractional coordinates of all 29 atoms:
Y1 0.0000 0.0000 0.0000
Y2 0.2500 0.2500 0.2500
Y3 0.7500 0.7500 0.7500
Si1 0.2662 0.2662 0.7338
Si2 0.2662 0.7338 0.2662
Si3 0.2662 0.7338 0.7338
Si4 0.7338 0.2662 0.2662
Si5 0.7338 0.2662 0.7338
Si6 0.7338 0.7338 0.2662
Ni1 0.0000 0.0000 0.3538
Ni2 0.0000 0.0000 0.6462
Ni3 0.0000 0.3538 0.0000
Ni4 0.0000 0.3538 0.6462
Ni5 0.0000 0.6462 0.0000
Ni6 0.0000 0.6462 0.3538
Ni7 0.1573 0.6142 0.6142
Ni8 0.3538 0.0000 0.0000
Ni9 0.3538 0.0000 0.6462
Ni10 0.3538 0.6462 0.0000
Ni11 0.3858 0.3858 0.3858
Ni12 0.3858 0.3858 0.8427
Ni13 0.3858 0.8427 0.3858
Ni14 0.6142 0.1573 0.6142
Ni15 0.6142 0.6142 0.1573
Ni16 0.6142 0.6142 0.6142
Ni17 0.6462 0.0000 0.0000
Ni18 0.6462 0.0000 0.3538
Ni19 0.6462 0.3538 0.0000
Ni20 0.8427 0.3858 0.3858